3
Lattice="-3.9274 -1.9432 0.3348 -0.3975 -3.7883 2.1917 -2.0832 -0.0924 3.8684" Properties=species:S:1:pos:R:3 comment="CaReRu, optimized geometry, DFT PBE" e_form_ev_per_atom=0.786 m_tot_mub_per_fu=0.00 final_energy_ev_per_atom=-7.12 pbc="T T T"
Re -3.2041 -2.9119 3.1975
Ca 0.0000 0.0000 0.0000
Ru -1.6020 -1.4560 1.5988